Cd2FeTe | SCAN | single point on PBEsol structure

- Magnetic moment: 2.5 μB per formula unit
- Mass density: 8.33 Mg/m³
- E: -28.819 eV per atom
- ΔE_f (raw): 0.233 eV per atom

POSCAR file:
```
Cd2FeTe
1.0
-1.1029 1.4944 -2.3634
1.7835 -2.7409 -2.5654
-5.7193 -3.0514 2.6509
Te Cd Fe
1 2 1
Direct
0.0000 0.5000 0.0000
0.1893 0.1893 0.3786
0.8107 0.8107 0.6214
0.5000 0.0000 0.0000
```